Material: Rb3Pb7Au2
Method: DFT, PBE-GGA
State: optimized geometry

Calculated volume ... 431 Å³ per cell
Formation energy from the elements ... -1.39 eV per formula unit

Lattice parameters (Å, degrees): 6.7161 5.1098 12.8441 90.00 102.39 90.00
Last column: nearest neighbours and their distance in Å.
Space group P2/m (No. 10)
Unique sites:
Rb  0.0000  0.0000  0.0000 (multiplicity 1)  4 Pb 3.72, 4 Au 3.97
Rb  0.1361  0.0000  0.3841 (multiplicity 2)  2 Au 3.74, 8 Pb 3.75-4.14, 1 Rb 3.81
Pb  0.2578  0.5000  0.1933 (multiplicity 2)  1 Au 2.86, 1 Pb 3.09
Pb  0.3830  0.5000  0.6111 (multiplicity 2)  1 Au 3.06, 1 Pb 3.09
Pb  0.4192  0.0000  0.7943 (multiplicity 2)  2 Au 3.08, 4 Pb 3.33-3.45
Pb  0.5000  0.5000  0.0000 (multiplicity 1)  2 Au 3.06, 2 Pb 3.25
Au  0.1642  0.5000  0.7969 (multiplicity 2)  5 Pb 2.86-3.08


Material: RbLaReN3
Method: DFT, PBE-GGA
State: optimized geometry

Calculated volume ... 444 Å³ per cell
Uncorrected formation energy ... -0.494 eV/atom

Lattice parameters (Å, degrees): 14.0842 3.9708 8.2245 90.00 105.30 90.00
Last column: nearest neighbours and their distance in Å.
Space group C2/m (No. 12)
Unique sites:
Rb  0.1364  0.0000  0.0675 (multiplicity 4)  6 N 3.05-3.24
La  0.1630  0.0000  0.5911 (multiplicity 4)  7 N 2.55-2.66
Re  0.0067  0.5000  0.3403 (multiplicity 4)  4 N 1.89-1.99
N  0.0109  0.0000  0.3382 (multiplicity 4)  2 Re 1.99
N  0.1268  0.5000  0.7822 (multiplicity 4)  1 Re 1.89
N  0.1520  0.5000  0.3757 (multiplicity 4)  1 Re 1.99


Material: ScCrBi3
Method: DFT, PBE-GGA
State: optimized geometry

Calculated volume ... 148 Å³ per cell
Formation energy from the elements ... 2.21 eV per formula unit

Lattice parameters (Å, degrees): 5.2921 5.2921 5.2921 90.00 90.00 90.00
Last column: nearest neighbours and their distance in Å.
Space group Pm-3m (No. 221)
Unique sites:
Sc  0.0000  0.0000  0.0000 (multiplicity 1)  12 Bi 3.74
Cr  0.5000  0.5000  0.5000 (multiplicity 1)  6 Bi 2.65
Bi  0.0000  0.5000  0.5000 (multiplicity 3)  2 Cr 2.65


Material: K2CuAu
Method: DFT, PBE-GGA
State: optimized geometry

Calculated volume ... 256 Å³ per cell
Formation energy from the elements ... 0.07 eV per formula unit

Lattice parameters (Å, degrees): 4.7831 5.7790 9.2781 90.00 90.00 90.00
Last column: nearest neighbours and their distance in Å.
Space group Imm2 (No. 44)
Unique sites:
K  0.0000  0.0000  0.0000 (multiplicity 2)  4 K 3.38-3.75, 4 Au 3.42-3.69, 1 Cu 3.55
K  0.0000  0.5000  0.1892 (multiplicity 2)  4 K 3.38-3.75, 4 Cu 3.40-3.71, 1 Au 3.59
Cu  0.0000  0.0000  0.3830 (multiplicity 2)  2 Au 2.50
Au  0.0000  0.5000  0.8028 (multiplicity 2)  2 Cu 2.50